# NiHg3W

NiHg3W after structural relaxation (PBE, Alexandria via LeMat-Bulk).

Lattice parameters (Å, degrees): 5.294 5.294 5.294 90.00 90.00 90.00
Space group Pm-3m (No. 221)
One atom of each set of equivalent atoms:
Ni: 0.000 0.000 0.000 x1
Hg: 0.000 0.500 0.500 x3
W: 0.500 0.500 0.500 x1

Computed properties:
**Energy above the lowest structure with this stoichiometry**: 171 meV per atom
**Crystal system**: cubic

***

# SrSnSbTe2

SrSnSbTe2 after structural relaxation (PBE, Alexandria via LeMat-Bulk).

Lattice parameters (Å, degrees): 5.810 5.810 5.606 90.00 90.00 90.00
Space group P4/mmm (No. 123)
One atom of each set of equivalent atoms:
Sr: 0.000 0.000 0.000 x1
Sn: 0.500 0.500 0.500 x1
Sb: 0.500 0.500 0.000 x1
Te: 0.000 0.500 0.500 x2

Computed properties:
**Energy above the lowest structure with this stoichiometry**: 0 meV per atom
**Crystal system**: tetragonal
**Formation energy without anion corrections**: -19 kJ/mol of atoms

***

# Nb2SiMo

Nb2SiMo after structural relaxation (PBE, Alexandria via LeMat-Bulk).

Lattice parameters (Å, degrees): 7.181 7.181 5.435 90.00 90.00 90.00
Space group I-42d (No. 122)
One atom of each set of equivalent atoms:
Nb: 0.236 0.250 0.125 x8
Si: 0.000 0.000 0.000 x4
Mo: 0.000 0.000 0.500 x4

Computed properties:
**Crystal system**: tetragonal
**Formation energy without anion corrections**: 40 kJ/mol of atoms

***

# CaY2Cu6

CaY2Cu6 after structural relaxation (PBE, Alexandria via LeMat-Bulk).

Lattice parameters (Å, degrees): 7.3304 7.3304 3.6602 90.00 90.00 120.00
Space group P6/mmm (No. 191)
One atom of each set of equivalent atoms:
Ca: 0.0000 0.0000 0.0000 x1
Y: 0.3333 0.6667 0.0000 x2
Cu: 0.0000 0.3347 0.5000 x6

Computed properties:
**Crystal system**: hexagonal
**Total energy**: -4.59 eV/atom

***

# LiTi2NbN4

LiTi2NbN4 after structural relaxation (PBE, Alexandria via LeMat-Bulk).

Lattice parameters (Å, degrees): 4.246 4.246 8.589 90.00 90.00 90.00
Space group I4/mmm (No. 139)
One atom of each set of equivalent atoms:
Li: 0.000 0.000 0.000 x2
Ti: 0.000 0.500 0.250 x4
Nb: 0.000 0.000 0.500 x2
N: 0.000 0.000 0.248 x4
N: 0.000 0.500 0.000 x4

Computed properties:
**Crystal system**: tetragonal
**Formation energy without anion corrections**: -129 kJ/mol of atoms

***

# Li2TlMo

Li2TlMo after structural relaxation (PBE, Alexandria via LeMat-Bulk).

Lattice parameters (Å, degrees): 5.735 9.844 2.798 90.00 115.45 90.00
Space group C2/m (No. 12)
One atom of each set of equivalent atoms:
Li: 0.250 0.250 0.000 x4
Tl: 0.000 0.000 0.500 x2
Mo: 0.000 0.500 0.500 x2

Computed properties:
**Energy above the lowest structure with this stoichiometry**: 26 meV per atom
**Crystal system**: monoclinic

***

# K3PtRh

K3PtRh after structural relaxation (PBE, Alexandria via LeMat-Bulk).

Lattice parameters (Å, degrees): 6.094 6.094 6.094 90.00 90.00 90.00
Space group Pm-3m (No. 221)
One atom of each set of equivalent atoms:
K: 0.000 0.000 0.500 x3
Pt: 0.000 0.000 0.000 x1
Rh: 0.500 0.500 0.500 x1

Computed properties:
**Energy above the lowest structure with this stoichiometry**: 0 meV per atom
**Crystal system**: cubic

***

# Zn2CuSb

Zn2CuSb after structural relaxation (PBE, Alexandria via LeMat-Bulk).

Lattice parameters (Å, degrees): 3.473 3.473 5.910 90.00 90.00 90.00
Space group P4mm (No. 99)
One atom of each set of equivalent atoms:
Zn: 0.000 0.000 0.000 x1
Zn: 0.500 0.500 0.222 x1
Cu: 0.000 0.000 0.422 x1
Sb: 0.500 0.500 0.704 x1

Computed properties:
**Crystal system**: tetragonal
**Formation energy without anion corrections**: 17 kJ/mol of atoms

***

# AcMnN2

AcMnN2 after structural relaxation (PBE, Alexandria via LeMat-Bulk).

Lattice parameters (Å, degrees): 3.3757 3.3757 16.0975 90.00 90.00 120.00
Space group R-3m (No. 166, hexagonal axes)
One atom of each set of equivalent atoms:
Ac: 0.0000 0.0000 0.0000 x3
Mn: 0.0000 0.0000 0.5000 x3
N: 0.0000 0.0000 0.2261 x6

Computed properties:
**Energy above the lowest structure with this stoichiometry**: 452 meV per atom
**Crystal system**: trigonal
**Formation energy without anion corrections**: -32 kJ/mol of atoms

***

# NaTmZnSn

NaTmZnSn after structural relaxation (PBE, Alexandria via LeMat-Bulk).

Lattice parameters (Å, degrees): 7.245 7.245 7.245 90.00 90.00 90.00
Space group F-43m (No. 216)
One atom of each set of equivalent atoms:
Na: 0.000 0.000 0.000 x4
Tm: 0.000 0.000 0.500 x4
Zn: 0.250 0.250 0.250 x4
Sn: 0.250 0.250 0.750 x4

Computed properties:
**Crystal system**: cubic
**Total energy**: -3.05 eV/atom

***

# Ba2ZnAg6Au

Ba2ZnAg6Au after structural relaxation (PBE, Alexandria via LeMat-Bulk).

Lattice parameters (Å, degrees): 5.622 7.250 7.519 85.03 68.11 67.29
Space group P-1 (No. 2)
One atom of each set of equivalent atoms:
Ba: 0.046 0.220 0.187 x2
Zn: 0.500 0.000 0.500 x1
Ag: 0.011 0.253 0.721 x2
Ag: 0.341 0.409 0.409 x2
Ag: 0.485 0.747 0.279 x2
Au: 0.500 0.500 0.000 x1

Computed properties:
**Crystal system**: triclinic
**Total energy**: -2.73 eV/atom

***

# MoPt3Rh3

MoPt3Rh3 after structural relaxation (PBE, Alexandria via LeMat-Bulk).

Lattice parameters (Å, degrees): 6.8569 6.8569 16.3478 90.00 90.00 120.00
Space group R-3 (No. 148, hexagonal axes)
One atom of each set of equivalent atoms:
Mo: 0.0000 0.0000 0.0828 x6
Pt: 0.0524 0.7973 0.6327 x18
Rh: 0.0314 0.2514 0.2029 x18

Computed properties:
**Energy above the lowest structure with this stoichiometry**: 0 meV per atom
**Crystal system**: trigonal